No. 1
Density functional theory data (PBEsol) for crystalline Eu2AgPt at its relaxed geometry.

a = 5.079 Å, b = 5.079 Å, c = 5.079 Å
α = 60.00°, β = 60.00°, γ = 60.00°
Sites, in units of the cell vectors:
Eu 0.250 0.250 0.250
Eu 0.750 0.750 0.750
Pt 0.000 0.000 0.000
Ag 0.500 0.500 0.500

## Properties
**Crystal system**: cubic
**E_form**: -590 meV per atom
**Space-group type**: No. 225
**Magnetization**: 14.101 μB per cell

=====

No. 2
Density functional theory data (PBEsol) for crystalline EuAg2Sn at its relaxed geometry.

a = 4.955 Å, b = 4.955 Å, c = 4.955 Å
α = 60.00°, β = 60.00°, γ = 60.00°
Sites, in units of the cell vectors:
Eu 0.000 0.000 0.000
Sn 0.500 0.500 0.500
Ag 0.250 0.250 0.250
Ag 0.750 0.750 0.750

## Properties
**Crystal system**: cubic
**E_form**: -375 meV per atom
**Space-group type**: No. 225
**Magnetization**: 6.891 μB per cell

=====

No. 3
Density functional theory data (PBEsol) for crystalline Eu2AgSn at its relaxed geometry.

a = 5.352 Å, b = 5.352 Å, c = 5.352 Å
α = 60.00°, β = 60.00°, γ = 60.00°
Sites, in units of the cell vectors:
Eu 0.250 0.250 0.250
Eu 0.750 0.750 0.750
Sn 0.000 0.000 0.000
Ag 0.500 0.500 0.500

## Properties
**Crystal system**: cubic
**E_form**: -534 meV per atom
**Space-group type**: No. 225
**Magnetization**: 13.652 μB per cell

=====

No. 4
Density functional theory data (PBEsol) for crystalline Eu2ZnAg at its relaxed geometry.

a = 5.208 Å, b = 5.208 Å, c = 5.208 Å
α = 60.00°, β = 60.00°, γ = 60.00°
Sites, in units of the cell vectors:
Eu 0.250 0.250 0.250
Eu 0.750 0.750 0.750
Zn 0.500 0.500 0.500
Ag 0.000 0.000 0.000

## Properties
**Crystal system**: cubic
**E_form**: -254 meV per atom
**Space-group type**: No. 225
**Magnetization**: 14.195 μB per cell

=====

Q: The lowest E_form belongs to which entry?
A: Eu2AgPt

=====

Q: E_form of number 2 (EuAg2Sn)?
A: -375 meV per atom